First-principles (PBE) data for an optimized crystal structure of ZrInP3, as listed in Alexandria via LeMat-Bulk.

Lattice parameters (Å, degrees): 5.0567 5.0567 5.0567 90.00 90.00 90.00
Space group Pm-3m (No. 221)
One atom of each set of equivalent atoms:
Zr (0.0000, 0.0000, 0.0000) x1
In (0.5000, 0.5000, 0.5000) x1
P (0.0000, 0.0000, 0.5000) x3

ΔE to the lowest computed polymorph (kJ/mol of formula units): 0.0
ΔH_f (0 K) (eV/atom): 0.25